DFT (PBE) results for LaPrH6Rh2 after structural relaxation.

Results
Its density of states at the Fermi level is 0.2 states/eV/cell. The value obtained for the total energy is -49.97 eV per formula unit.

a = 6.201 Å, b = 6.201 Å, c = 6.701 Å
α = 102.82°, β = 102.82°, γ = 101.83°
Fractional positions:
H (0.546, 0.304, 0.876)
H (0.788, 0.841, 0.984)
H (0.931, 0.424, 0.112)
H (0.069, 0.576, 0.888)
H (0.576, 0.069, 0.388)
H (0.424, 0.931, 0.612)
H (0.454, 0.696, 0.124)
H (0.304, 0.546, 0.376)
H (0.159, 0.212, 0.516)
H (0.212, 0.159, 0.016)
H (0.841, 0.788, 0.484)
H (0.696, 0.454, 0.624)
Rh (0.321, 0.063, 0.811)
Rh (0.679, 0.937, 0.189)
Rh (0.063, 0.321, 0.311)
Rh (0.937, 0.679, 0.689)
Pr (0.595, 0.405, 0.250)
Pr (0.405, 0.595, 0.750)
La (0.851, 0.149, 0.750)
La (0.149, 0.851, 0.250)

***

DFT (PBE) results for SrCuAg2F6 after structural relaxation.

Results
The calculation puts the uncorrected formation energy at -1.985 eV/atom.

a = 5.850 Å, b = 5.902 Å, c = 9.041 Å
α = 90.00°, β = 94.15°, γ = 90.00°
Each line ends with the local moment (μB).
Fractional positions:
F (0.330, 0.729, 0.432)  0.06
F (0.670, 0.271, 0.568)  0.06
F (0.264, 0.682, 0.069)  0.06
F (0.369, 0.928, 0.745)  0.01
F (0.764, 0.818, 0.569)  0.06
F (0.736, 0.318, 0.931)  0.06
F (0.131, 0.428, 0.755)  0.01
F (0.631, 0.072, 0.255)  0.01
F (0.869, 0.572, 0.245)  0.01
F (0.236, 0.182, 0.431)  0.06
F (0.830, 0.771, 0.932)  0.06
F (0.170, 0.229, 0.068)  0.06
Ag (0.980, 0.047, 0.757)  0.03
Ag (0.520, 0.547, 0.743)  0.03
Ag (0.480, 0.453, 0.257)  0.03
Ag (0.020, 0.953, 0.243)  0.03
Cu (0.500, 0.000, 0.500)  0.72
Cu (0.000, 0.500, 0.000)  0.72
Sr (0.000, 0.500, 0.500)  0.00
Sr (0.500, 0.000, 0.000)  0.00

***

DFT (PBE) results for Ti3MoAs after structural relaxation.

Results
The value obtained for the offset from the most stable computed form is 1.17 eV per formula unit. The calculation puts the formation energy at 714 meV per atom. Its density of states at the Fermi level is 6.2 states/eV/cell.

a = 4.717 Å, b = 4.717 Å, c = 4.717 Å
α = 90.00°, β = 90.00°, γ = 90.00°
Each line ends with the local moment (μB).
Fractional positions:
Ti (0.000, 0.500, 0.000)  0.50
Ti (0.000, 0.000, 0.500)  0.34
Ti (0.500, 0.000, 0.000)  0.81
As (0.500, 0.500, 0.500)  -0.04
Mo (0.000, 0.000, 0.000)  -0.07